Entry 1:
Density functional theory data (GGA-PBE) for an optimized crystal structure of Tb2Pr6Sm3Dy.

The structure in extended XYZ format:
```
12
Lattice="6.3469 -0.0017 0.0094 -3.1734 5.4966 0.0094 -1.0738 -1.8593 11.8280" Properties=species:S:1:pos:R:3 pbc="T T T"
Tb -0.0001 3.6639 0.0094
Tb 3.1736 1.8310 0.0094
Pr 3.1593 1.8081 8.9102
Pr 2.1136 3.6597 2.9463
Pr -1.0596 1.8274 2.9365
Pr -0.0127 3.6401 8.9102
Pr -0.0139 -0.0241 8.9005
Pr 2.1124 -0.0045 2.9365
Sm -2.1240 3.6508 5.9234
Sm 4.2236 -0.0152 5.9234
Sm 1.0498 1.8178 5.9234
Dy 0.0000 0.0000 0.0000
```

density of states at the Fermi level: 15.3 states/eV/f.u.
calculated formation energy: 12 meV per atom
space group: No. 12
energy: -4.713 eV/atom

Entry 2:
Density functional theory data (GGA-PBE) for an optimized crystal structure of Tb6Pr2SmDy3.

The structure in extended XYZ format:
```
12
Lattice="6.2155 0.0004 0.0065 -3.1059 5.3839 0.0065 -1.0449 -1.8093 11.6930" Properties=species:S:1:pos:R:3 pbc="T T T"
Tb 3.1001 1.7854 8.7343
Tb 2.0732 3.5896 2.9796
Tb -1.0353 1.7896 2.9718
Tb -0.0028 3.5774 8.7343
Tb -0.0084 -0.0146 8.7265
Tb 2.0675 -0.0024 2.9718
Pr 0.0011 3.5894 0.0065
Pr 3.1085 1.7948 0.0065
Sm 0.0000 0.0000 0.0000
Dy -2.0757 3.5825 5.8531
Dy 4.1404 -0.0075 5.8531
Dy 1.0324 1.7875 5.8531
```

density of states at the Fermi level: 15.6 states/eV/f.u.
calculated formation energy: 16 meV per atom
space group: No. 12
energy: -4.639 eV/atom

Entry 3:
Density functional theory data (GGA-PBE) for an optimized crystal structure of Tb2Pr2SmDy4.

The structure in extended XYZ format:
```
9
Lattice="3.6261 0.0000 0.0000 -1.8130 9.3933 -0.5037 0.0000 -3.7055 8.8865" Properties=species:S:1:pos:R:3 pbc="T T T"
Tb 1.8130 5.3806 2.6466
Tb 0.0000 0.3072 5.7363
Pr 0.0000 6.2748 -0.3341
Pr 1.8130 -0.5870 8.7170
Sm 0.0000 0.0000 0.0000
Dy 1.8130 3.4447 5.5784
Dy 0.0000 2.2431 2.8045
Dy 1.8130 -0.8788 2.9626
Dy 0.0000 6.5665 5.4202
```

density of states at the Fermi level: 12.2 states/eV/f.u.
calculated formation energy: -2 meV per atom
space group: No. 12
energy: -4.662 eV/atom